Entry 1:
# PaReO

An optimized crystal structure of PaReO (GGA-PBE, Alexandria via LeMat-Bulk).

The structure in POSCAR format:
```
PaReO
1.0
3.0427 0.0000 0.0000
-1.5213 2.6350 0.0000
0.0000 0.0000 5.7567
Pa Re O
1 1 1
Cartesian
0.0000 0.0000 0.0000 Pa
1.5213 0.8783 2.5512 Re
0.0000 1.7567 3.8011 O
```

***

Entry 2:
# PaReO6

An optimized crystal structure of PaReO6 (GGA-PBE, Alexandria via LeMat-Bulk).

The structure in POSCAR format:
```
PaReO6
1.0
5.1384 0.0000 0.0000
1.1719 5.0585 0.0000
0.5708 2.5227 4.6168
Pa Re O
1 1 6
Cartesian
0.0000 0.0000 0.0000 Pa
3.1551 2.5293 0.0000 Re
2.2652 3.8373 4.6161 O
2.8231 6.1413 3.3517 O
2.2509 3.6181 1.2643 O
4.6302 3.9632 3.3525 O
4.0580 1.4399 1.2651 O
4.6159 3.7439 0.0007 O
```

***

Entry 3:
# PaReSnO6

An optimized crystal structure of PaReSnO6 (GGA-PBE, Alexandria via LeMat-Bulk).

The structure in POSCAR format:
```
PaReSnO6
1.0
-3.6314 4.0788 5.5737
3.6314 -4.0788 5.5737
3.6314 4.0788 -5.5737
Pa Re Sn O
2 2 2 12
Cartesian
0.0000 0.0000 0.0000 Pa
0.0000 4.0788 0.0000 Pa
-1.8157 2.0394 2.7869 Re
1.8157 2.0394 2.7869 Re
3.6314 2.0394 -2.5351 Sn
0.0000 2.0394 8.1088 Sn
3.6314 -2.0394 4.6315 O
1.4323 0.6443 1.4768 O
5.8305 0.6443 1.4768 O
1.4323 4.7231 -1.4768 O
2.1991 0.6443 4.0969 O
3.6314 2.0394 2.3016 O
0.0000 2.0394 3.2721 O
1.4323 3.4345 1.4768 O
2.1991 -0.6443 7.0505 O
-2.1991 3.4345 4.0969 O
2.1991 3.4345 4.0969 O
0.0000 6.1182 0.9422 O
```

***

Entry 4:
# SrPaReO6

An optimized crystal structure of SrPaReO6 (GGA-PBE, Alexandria via LeMat-Bulk).

The structure in POSCAR format:
```
SrPaReO6
1.0
5.6096 0.0000 0.0000
-2.8048 4.8581 0.0000
0.0000 0.0000 10.5190
Sr Pa Re O
2 2 2 12
Cartesian
0.0000 0.0000 0.0000 Sr
0.0000 0.0000 5.2595 Sr
0.0000 3.2387 2.6297 Pa
2.8048 1.6194 7.8892 Pa
0.0000 3.2387 7.8892 Re
2.8048 1.6194 2.6297 Re
-0.9178 1.8460 6.8008 O
-1.6651 3.1402 8.9776 O
0.9178 1.8460 8.9776 O
-0.7473 4.7300 6.8008 O
2.0576 0.1281 1.5413 O
1.1397 1.7179 3.7182 O
1.6651 3.1402 6.8008 O
0.7473 4.7300 8.9776 O
3.5521 0.1281 3.7182 O
1.8870 3.0121 1.5413 O
4.4699 1.7179 1.5413 O
3.7227 3.0121 3.7182 O
```

***

Listing formation energy from raw total energies for the structures above in their given order: -0.4568, -2.2825, -2.0626, -2.6283 eV/atom.
Listing magnetic moment for the structures above in their given order: 0.00, 0.00, 0.40, 2.00 μB/f.u..